A relaxed structure of AgPbW2O8, computed with PBE+U.

As for the total energy: -6.433 eV/atom.

The structure belongs to space group I-4m2 (No. 119); the cell edges are 7.5131, 7.5131 and 7.0153 Å and the angles 90.00°, 90.00° and 90.00°. The inequivalent atoms are Ag at (0.0000, 0.0000, 0.0000), Pb at (0.0000, 0.5000, 0.7500), W at (0.0000, 0.0000, 0.5000), W at (0.0000, 0.5000, 0.2500), O at (0.0000, 0.1941, 0.6530) and O at (0.0000, 0.3078, 0.0907).